First-principles (PBE) data for Zr2CrIr after structural relaxation, as listed in the Alexandria database.

Structure (POSCAR):
```
Zr2CrIr
1.0
3.1119 0.0000 0.0000
-1.5559 2.6949 0.0000
0.0000 0.0000 25.6775
Zr Cr Ir
6 3 3
Direct
0.0000 0.0000 0.2476
0.0000 0.0000 0.7524
0.3333 0.6667 0.4190
0.3333 0.6667 0.9143
0.6667 0.3333 0.0857
0.6667 0.3333 0.5810
0.0000 0.0000 0.5000
0.3333 0.6667 0.1667
0.6667 0.3333 0.8333
0.0000 0.0000 0.0000
0.3333 0.6667 0.6667
0.6667 0.3333 0.3333
```

Results
- Energy of formation: 0.2 eV/f.u.
- Symmetry: No. 166

---

First-principles (PBE) data for ZrCr2Ir after structural relaxation, as listed in the Alexandria database.

Structure (POSCAR):
```
ZrCr2Ir
1.0
3.4419 0.0000 0.0000
0.0000 4.1706 0.0000
0.0000 0.0000 4.4466
Zr Cr Ir
1 2 1
Direct
0.0000 0.0000 0.0000
0.0000 0.5000 0.5000
0.5000 0.0000 0.5000
0.5000 0.5000 0.0000
```

Results
- Energy of formation: -0.5 eV/f.u.
- Symmetry: No. 47